## Ba2LaH (GGA-PBE)

Data for a relaxed Ba2LaH crystal.

Output
The density is 4.73 g cm⁻³. The value obtained for the energy above the lowest structure with this stoichiometry is 29 meV/atom. The value obtained for the density of states at the Fermi level is 4.86 states/eV/cell. The total magnetic moment comes out at 1.42 μB per formula unit.

a b c (Å): 11.0308 11.0308 11.0308
angles (deg): 20.60 20.60 20.60
Closest atoms and distances in Å follow each position.
Fractional positions:
Ba  0.1154  0.1154  0.1154  3 H 2.82
Ba  0.8846  0.8846  0.8846  3 H 2.82
La  0.0000  0.0000  0.0000  2 Ba 3.74, 6 La 3.94
H  0.5000  0.5000  0.5000  6 Ba 2.82

***

## HW2Au (GGA-PBE)

Data for a relaxed HW2Au crystal.

Output
The density is 16.18 g cm⁻³. The value obtained for the energy above the lowest structure with this stoichiometry is 225 meV/atom. The value obtained for the density of states at the Fermi level is 2.99 states/eV/cell. The total magnetic moment comes out at 0.00 μB per formula unit.

a b c (Å): 4.3462 4.3462 4.3462
angles (deg): 60.00 60.00 60.00
Closest atoms and distances in Å follow each position.
Fractional positions:
H  0.0000  0.0000  0.0000  8 W 2.66
W  0.2500  0.2500  0.2500  4 Au 2.66, 4 H 2.66
W  0.7500  0.7500  0.7500  4 H 2.66, 4 Au 2.66
Au  0.5000  0.5000  0.5000  8 W 2.66

***

## TbPuHg (GGA-PBE)

Data for a relaxed TbPuHg crystal.

Output
The density is 12.45 g cm⁻³. The value obtained for the energy above the lowest structure with this stoichiometry is 92 meV/atom. The value obtained for the density of states at the Fermi level is 8.15 states/eV/cell. The total magnetic moment comes out at 6.06 μB per formula unit.

a b c (Å): 5.2566 5.2566 3.3645
angles (deg): 90.00 90.00 120.00
Closest atoms and distances in Å follow each position.
Fractional positions:
Tb  0.0000  0.0000  0.0000  3 Hg 3.18, 3 Pu 3.34, 2 Tb 3.36
Pu  0.3333  0.6667  0.5861  3 Hg 3.20, 3 Tb 3.34, 2 Pu 3.36
Hg  0.6667  0.3333  0.2841  3 Tb 3.18, 3 Pu 3.20, 2 Hg 3.36

***

## Ac6RuPb2 (GGA-PBE)

Data for a relaxed Ac6RuPb2 crystal.

Output
The density is 8.74 g cm⁻³. The value obtained for the density of states at the Fermi level is 20.65 states/eV/cell. The total magnetic moment comes out at 0.00 μB per formula unit. The final energy comes out at -4.91 eV/atom.

a b c (Å): 7.2842 8.9892 12.9142
angles (deg): 90.00 122.44 90.00
Closest atoms and distances in Å follow each position.
Fractional positions:
Ac  0.1106  0.1682  0.4487  1 Ru 2.96
Ac  0.1106  0.3318  0.9487  1 Ru 2.96
Ac  0.3028  0.6975  0.4498  1 Ru 2.98
Ac  0.3028  0.8025  0.9498  1 Ru 2.98
Ac  0.3601  0.0288  0.2462  1 Ru 2.88
Ac  0.3601  0.4712  0.7462  1 Ru 2.88
Ac  0.6399  0.5288  0.2538  1 Ru 2.88
Ac  0.6399  0.9712  0.7538  1 Ru 2.88
Ac  0.6972  0.1975  0.0502  1 Ru 2.98
Ac  0.6972  0.3025  0.5502  1 Ru 2.98
Ac  0.8894  0.6682  0.0513  1 Ru 2.96
Ac  0.8894  0.8318  0.5513  1 Ru 2.96
Ru  0.5000  0.0000  0.5000  6 Ac 2.88-2.98
Ru  0.5000  0.5000  0.0000  6 Ac 2.88-2.98
Pb  0.1911  0.1101  0.7553  8 Ac 3.44-3.72
Pb  0.1911  0.3899  0.2553  8 Ac 3.44-3.72
Pb  0.8089  0.6101  0.7447  8 Ac 3.44-3.72
Pb  0.8089  0.8899  0.2447  8 Ac 3.44-3.72